## ScAsH (PBE)

Data for a geometry-optimized ScAsH structure.

Cell and atoms, written as CIF:
```
data_ScAsH
_chemical_formula_sum 'Sc2 As2 H2'
_space_group_name_H-M_alt 'P 1'
_space_group_IT_number 1
_cell_length_a 3.7815
_cell_length_b 3.7832
_cell_length_c 7.3890
_cell_angle_alpha 75.96
_cell_angle_beta 75.32
_cell_angle_gamma 60.54
loop_
_space_group_symop_operation_xyz
'x,y,z'
loop_
_atom_site_label
_atom_site_fract_x
_atom_site_fract_y
_atom_site_fract_z
Sc1 0.0000 0.0000 0.0000
Sc2 0.1786 0.1871 0.4538
As1 0.5813 0.5932 0.2427
As2 0.7149 0.8386 0.7169
H1 0.3261 0.3665 0.9687
H2 0.9000 0.3542 0.7219
```

Its electronic total energy is -5.517 eV per atom. As for the size of the total moment: 0.00 μB per cell. The calculation puts the density of states at the Fermi level at 0.26 states/eV/cell.


## Sc4AsH2 (PBE)

Data for a geometry-optimized Sc4AsH2 structure.

Cell and atoms, written as CIF:
```
data_Sc4AsH2
_chemical_formula_sum 'Sc8 As2 H4'
_space_group_name_H-M_alt 'P 1'
_space_group_IT_number 1
_cell_length_a 6.7404
_cell_length_b 6.7404
_cell_length_c 6.7404
_cell_angle_alpha 105.77
_cell_angle_beta 105.77
_cell_angle_gamma 117.16
loop_
_space_group_symop_operation_xyz
'x,y,z'
loop_
_atom_site_label
_atom_site_fract_x
_atom_site_fract_y
_atom_site_fract_z
Sc1 0.2144 0.2802 0.5658
Sc2 0.2144 0.6487 0.9342
Sc3 0.2802 0.2144 0.0658
Sc4 0.3513 0.7856 0.5658
Sc5 0.6487 0.2144 0.4342
Sc6 0.7198 0.7856 0.9342
Sc7 0.7856 0.3513 0.0658
Sc8 0.7856 0.7198 0.4342
As1 0.1250 0.8750 0.2500
As2 0.8750 0.1250 0.7500
H1 0.0000 0.5000 0.5000
H2 0.5000 0.0000 0.0000
H3 0.5000 0.5000 0.0000
H4 0.5000 0.5000 0.5000
```

Its electronic total energy is -5.787 eV per atom. As for the size of the total moment: 0.00 μB per cell. The calculation puts the density of states at the Fermi level at 12.29 states/eV/cell.


## ScAsH3 (PBE)

Data for a geometry-optimized ScAsH3 structure.

Cell and atoms, written as CIF:
```
data_ScAsH3
_chemical_formula_sum 'Sc1 As1 H3'
_space_group_name_H-M_alt 'P 1'
_space_group_IT_number 1
_cell_length_a 3.7289
_cell_length_b 3.7289
_cell_length_c 3.7289
_cell_angle_alpha 90.00
_cell_angle_beta 90.00
_cell_angle_gamma 90.00
loop_
_space_group_symop_operation_xyz
'x,y,z'
loop_
_atom_site_label
_atom_site_fract_x
_atom_site_fract_y
_atom_site_fract_z
Sc1 0.0000 0.0000 0.0000
As1 0.5000 0.5000 0.5000
H1 0.0000 0.5000 0.5000
H2 0.5000 0.0000 0.5000
H3 0.5000 0.5000 0.0000
```

Its electronic total energy is -3.825 eV per atom. As for the size of the total moment: 0.00 μB per cell. The calculation puts the density of states at the Fermi level at 1.78 states/eV/cell.


## ScAsHSe2 (PBE)

Data for a geometry-optimized ScAsHSe2 structure.

Cell and atoms, written as CIF:
```
data_ScAsHSe2
_chemical_formula_sum 'Sc1 As1 H1 Se2'
_space_group_name_H-M_alt 'P 1'
_space_group_IT_number 1
_cell_length_a 5.1412
_cell_length_b 5.1412
_cell_length_c 5.2271
_cell_angle_alpha 90.00
_cell_angle_beta 90.00
_cell_angle_gamma 90.00
loop_
_space_group_symop_operation_xyz
'x,y,z'
loop_
_atom_site_label
_atom_site_fract_x
_atom_site_fract_y
_atom_site_fract_z
Sc1 0.0000 0.0000 0.0000
As1 0.0000 0.0000 0.5000
H1 0.5000 0.5000 0.5000
Se1 0.0000 0.5000 0.0000
Se2 0.5000 0.0000 0.0000
```

Its electronic total energy is -3.944 eV per atom. As for the size of the total moment: 0.51 μB per cell. The calculation puts the density of states at the Fermi level at 5.52 states/eV/cell.


## ScAsHSe2 (PBE)

Data for a geometry-optimized ScAsHSe2 structure.

Cell and atoms, written as CIF:
```
data_ScAsHSe2
_chemical_formula_sum 'Sc1 As1 H1 Se2'
_space_group_name_H-M_alt 'P 1'
_space_group_IT_number 1
_cell_length_a 4.9096
_cell_length_b 4.9096
_cell_length_c 3.5119
_cell_angle_alpha 90.00
_cell_angle_beta 90.00
_cell_angle_gamma 90.00
loop_
_space_group_symop_operation_xyz
'x,y,z'
loop_
_atom_site_label
_atom_site_fract_x
_atom_site_fract_y
_atom_site_fract_z
Sc1 0.0000 0.0000 0.0000
As1 0.5000 0.5000 0.0000
H1 0.5000 0.5000 0.5000
Se1 0.0000 0.5000 0.5000
Se2 0.5000 0.0000 0.5000
```

Its electronic total energy is -4.436 eV per atom. As for the size of the total moment: 0.00 μB per cell. The calculation puts the density of states at the Fermi level at 1.50 states/eV/cell.


## SrScAs2H (PBE)

Data for a geometry-optimized SrScAs2H structure.

Cell and atoms, written as CIF:
```
data_SrScAs2H
_chemical_formula_sum 'Sr1 Sc1 As2 H1'
_space_group_name_H-M_alt 'P 1'
_space_group_IT_number 1
_cell_length_a 5.1745
_cell_length_b 5.1745
_cell_length_c 4.2340
_cell_angle_alpha 90.00
_cell_angle_beta 90.00
_cell_angle_gamma 90.00
loop_
_space_group_symop_operation_xyz
'x,y,z'
loop_
_atom_site_label
_atom_site_fract_x
_atom_site_fract_y
_atom_site_fract_z
Sr1 0.0000 0.0000 0.0000
Sc1 0.5000 0.5000 0.5000
As1 0.0000 0.5000 0.5000
As2 0.5000 0.0000 0.5000
H1 0.5000 0.5000 0.0000
```

Its electronic total energy is -4.759 eV per atom. As for the size of the total moment: 0.00 μB per cell. The calculation puts the density of states at the Fermi level at 3.26 states/eV/cell.


## Sc2TiAsH (PBE)

Data for a geometry-optimized Sc2TiAsH structure.

Cell and atoms, written as CIF:
```
data_Sc2TiAsH
_chemical_formula_sum 'Sc2 Ti1 As1 H1'
_space_group_name_H-M_alt 'P 1'
_space_group_IT_number 1
_cell_length_a 4.3119
_cell_length_b 4.3119
_cell_length_c 4.0269
_cell_angle_alpha 90.00
_cell_angle_beta 90.00
_cell_angle_gamma 90.00
loop_
_space_group_symop_operation_xyz
'x,y,z'
loop_
_atom_site_label
_atom_site_fract_x
_atom_site_fract_y
_atom_site_fract_z
Sc1 0.0000 0.5000 0.0000
Sc2 0.5000 0.0000 0.0000
Ti1 0.0000 0.0000 0.5000
As1 0.5000 0.5000 0.5000
H1 0.0000 0.0000 0.0000
```

Its electronic total energy is -6.241 eV per atom. As for the size of the total moment: 0.00 μB per cell. The calculation puts the density of states at the Fermi level at 3.92 states/eV/cell.


## ScAsH2W (PBE)

Data for a geometry-optimized ScAsH2W structure.

Cell and atoms, written as CIF:
```
data_ScAsH2W
_chemical_formula_sum 'Sc1 As1 H2 W1'
_space_group_name_H-M_alt 'P 1'
_space_group_IT_number 1
_cell_length_a 3.7208
_cell_length_b 3.7208
_cell_length_c 4.9004
_cell_angle_alpha 90.00
_cell_angle_beta 90.00
_cell_angle_gamma 90.00
loop_
_space_group_symop_operation_xyz
'x,y,z'
loop_
_atom_site_label
_atom_site_fract_x
_atom_site_fract_y
_atom_site_fract_z
Sc1 0.0000 0.0000 0.0000
As1 0.5000 0.5000 0.0000
H1 0.0000 0.5000 0.5000
H2 0.5000 0.0000 0.5000
W1 0.5000 0.5000 0.5000
```

Its electronic total energy is -6.120 eV per atom. As for the size of the total moment: 0.00 μB per cell. The calculation puts the density of states at the Fermi level at 2.85 states/eV/cell.


## As2H2Se3 (PBE)

Data for a geometry-optimized As2H2Se3 structure.

Cell and atoms, written as CIF:
```
data_As2H2Se3
_chemical_formula_sum 'As2 H2 Se3'
_space_group_name_H-M_alt 'P 1'
_space_group_IT_number 1
_cell_length_a 4.2153
_cell_length_b 5.7664
_cell_length_c 6.9512
_cell_angle_alpha 76.45
_cell_angle_beta 84.16
_cell_angle_gamma 73.85
loop_
_space_group_symop_operation_xyz
'x,y,z'
loop_
_atom_site_label
_atom_site_fract_x
_atom_site_fract_y
_atom_site_fract_z
As1 0.1318 0.1423 0.1655
As2 0.8682 0.8577 0.8345
H1 0.1759 0.9159 0.6624
H2 0.8241 0.0841 0.3376
Se1 0.2983 0.7273 0.1207
Se2 0.5000 0.0000 0.5000
Se3 0.7017 0.2727 0.8793
```

Its electronic total energy is -3.654 eV per atom. As for the size of the total moment: 0.00 μB per cell. The calculation puts the density of states at the Fermi level at 2.55 states/eV/cell.


## As3HSe (PBE)

Data for a geometry-optimized As3HSe structure.

Cell and atoms, written as CIF:
```
data_As3HSe
_chemical_formula_sum 'As3 H1 Se1'
_space_group_name_H-M_alt 'P 1'
_space_group_IT_number 1
_cell_length_a 5.0877
_cell_length_b 5.0877
_cell_length_c 5.0877
_cell_angle_alpha 90.00
_cell_angle_beta 90.00
_cell_angle_gamma 90.00
loop_
_space_group_symop_operation_xyz
'x,y,z'
loop_
_atom_site_label
_atom_site_fract_x
_atom_site_fract_y
_atom_site_fract_z
As1 0.0000 0.0000 0.5000
As2 0.0000 0.5000 0.0000
As3 0.5000 0.0000 0.0000
H1 0.5000 0.5000 0.5000
Se1 0.0000 0.0000 0.0000
```

Its electronic total energy is -2.798 eV per atom. As for the size of the total moment: 0.38 μB per cell. The calculation puts the density of states at the Fermi level at 6.11 states/eV/cell.